(1)
## KW5 (PBE)

Data for crystalline KW5 at its relaxed geometry.

POSCAR file:
```
KW5
1.0
-4.505 0.774 2.868
-1.364 4.972 1.594
-4.232 2.486 -2.242
K W
1 5
direct
0.000 0.000 0.000
0.250 0.250 0.250
0.626 0.626 0.626
0.626 0.626 0.123
0.123 0.626 0.626
0.626 0.123 0.626
```

Values from the calculation:
Final energy   -9.798 eV per atom
Energy relative to the elements   1179 meV/atom

(2)
## P2RuS (PBE)

Data for crystalline P2RuS at its relaxed geometry.

POSCAR file:
```
P2RuS
1.0
5.569 0.000 0.000
0.000 5.569 0.000
2.785 2.785 4.940
Ru S P
2 2 4
direct
0.000 0.000 0.000
0.750 0.250 0.500
0.500 0.500 0.000
0.250 0.750 0.500
0.656 0.125 0.250
0.094 0.625 0.250
0.375 0.344 0.750
0.875 0.906 0.750
```

Values from the calculation:
Final energy   -5.926 eV per atom
Formation energy without anion corrections   0.13 eV per atom

(3)
## ZnTc2Hg (PBE)

Data for crystalline ZnTc2Hg at its relaxed geometry.

POSCAR file:
```
ZnTc2Hg
1.0
5.168 0.004 0.000
2.113 4.716 0.000
-3.117 -3.169 2.637
Hg Tc Zn
1 2 1
direct
0.254 0.754 0.500
0.982 0.982 0.000
0.756 0.256 0.500
0.507 0.507 0.000
```

Values from the calculation:
Final energy   -5.150 eV per atom
Energy relative to the elements   427 meV/atom

(4)
## TmSc2Cu (PBE)

Data for crystalline TmSc2Cu at its relaxed geometry.

POSCAR file:
```
TmSc2Cu
1.0
-2.354 -1.193 2.123
-1.547 -2.939 -0.665
5.346 -5.962 5.281
Sc Tm Cu
2 1 1
direct
0.734 0.734 0.797
0.266 0.266 0.203
0.500 0.500 0.500
0.000 0.000 0.000
```

Values from the calculation:
Final energy   -5.249 eV per atom
Energy relative to the elements   58 meV/atom

(5)
## BaSi2P (PBE)

Data for crystalline BaSi2P at its relaxed geometry.

POSCAR file:
```
BaSi2P
1.0
5.710 -0.032 0.000
-2.376 5.193 0.000
0.000 0.000 3.112
Ba P Si
1 1 2
direct
0.500 0.000 0.500
0.000 0.500 0.500
0.000 0.000 0.000
0.500 0.500 0.000
```

Values from the calculation:
Final energy   -3.947 eV per atom
Formation energy without anion corrections   0.60 eV per atom

(6)
## Zr5W (PBE)

Data for crystalline Zr5W at its relaxed geometry.

POSCAR file:
```
Zr5W
1.0
0.160 4.182 -3.490
-4.468 -0.883 2.991
1.991 3.190 3.915
Zr W
5 1
direct
0.000 0.500 0.500
0.333 0.667 0.000
0.500 0.000 0.500
0.500 0.500 0.500
0.667 0.333 0.000
0.000 0.000 0.000
```

Values from the calculation:
Final energy   -8.408 eV per atom
Energy relative to the elements   874 meV/atom

(7)
## Sr2CdH (PBE)

Data for crystalline Sr2CdH at its relaxed geometry.

POSCAR file:
```
Sr2CdH
1.0
3.679 0.000 0.000
0.000 3.679 0.000
0.000 0.000 8.226
Sr H Cd
2 1 1
direct
0.000 0.000 0.772
0.000 0.000 0.228
0.500 0.500 0.000
0.500 0.500 0.500
```

Values from the calculation:
Final energy   -1.981 eV per atom

(8)
## Ba3Zn3Au8 (PBE)

Data for crystalline Ba3Zn3Au8 at its relaxed geometry.

POSCAR file:
```
Ba3Zn3Au8
1.0
4.572 0.000 1.206
1.388 7.975 4.008
-0.008 0.160 9.300
Ba Zn Au
3 3 8
direct
0.293 0.739 0.674
0.707 0.261 0.326
0.000 0.000 0.000
0.000 0.500 0.500
0.672 0.660 0.996
0.328 0.340 0.004
0.111 0.171 0.607
0.889 0.829 0.393
0.861 0.429 0.849
0.139 0.571 0.151
0.515 0.656 0.315
0.485 0.344 0.685
0.360 0.030 0.250
0.640 0.970 0.750
```

Values from the calculation:
Final energy   -3.074 eV per atom
Energy relative to the elements   -516 meV/atom

- Which of these has the highest final energy?
  Sr2CdH